Density functional theory data (PBE-GGA) for a relaxed structure of GdBePt3.

## Properties
DOS at the Fermi energy (states/eV/cell): 3.59
Symmetry: Pm-3m, No. 221
Total energy (eV/atom): -8.01

Geometry as extended XYZ:
```
5
Lattice="4.3907 0.0000 0.0000 0.0000 4.3907 0.0000 0.0000 0.0000 4.3907" Properties=species:S:1:pos:R:3 pbc="T T T"
Gd 0.0000 0.0000 0.0000
Be 2.1953 2.1953 2.1953
Pt 0.0000 2.1953 2.1953
Pt 2.1953 0.0000 2.1953
Pt 2.1953 2.1953 0.0000
```